The following is a DFT calculation (GGA+U) of an optimized crystal structure of CrMo2NO.

The structure in CIF format:
```
data_CrMo2NO
_chemical_formula_sum 'Cr1 Mo2 N1 O1'
_cell_length_a 5.090
_cell_length_b 3.565
_cell_length_c 5.090
_cell_angle_alpha 90.00
_cell_angle_beta 90.00
_cell_angle_gamma 90.00
_symmetry_space_group_name_H-M 'P 1'
_symmetry_Int_Tables_number 1
loop_
_symmetry_equiv_pos_as_xyz
'x,y,z'
loop_
_atom_site_label
_atom_site_type_symbol
_atom_site_fract_x
_atom_site_fract_y
_atom_site_fract_z
Mo1 Mo 0.000 0.000 0.500
Mo2 Mo 0.500 0.000 0.000
Cr1 Cr 0.000 0.000 0.000
N1 N 0.000 0.500 0.000
O1 O 0.500 0.500 0.500
```

Results
**Total energy**: -27.74 eV per cell
**ρ**: 4.9 g/cm3